Compound: LaZr2In2
Source: Alexandria
Functional: SCAN
Structure: single point on PBEsol structure

Structure (POSCAR):
```
LaZr2In2
1.0
4.3406 0.0000 0.0000
0.0000 4.3406 0.0000
-2.1703 -2.1703 6.8617
In Zr La
2 2 1
Direct
0.3984 0.3984 0.7969
0.6016 0.6016 0.2031
0.7500 0.2500 0.5000
0.2500 0.7500 0.5000
0.0000 0.0000 0.0000
```

The final energy is -34.6256 eV per atom. The formation energy comes out at -0.371 eV per atom.

Compound: LaZr3In
Source: Alexandria
Functional: SCAN
Structure: single point on PBEsol structure

Structure (POSCAR):
```
LaZr3In
1.0
5.3260 0.0000 0.0000
0.0000 5.3260 0.0000
0.0000 0.0000 5.3260
In Zr La
1 3 1
Direct
0.0000 0.0000 0.0000
0.0000 0.5000 0.0000
0.0000 0.0000 0.5000
0.5000 0.0000 0.0000
0.5000 0.5000 0.5000
```

The final energy is -33.0496 eV per atom. The formation energy comes out at 0.668 eV per atom.

Compound: La3ZrIn
Source: Alexandria
Functional: SCAN
Structure: single point on PBEsol structure

Structure (POSCAR):
```
La3ZrIn
1.0
-2.7115 -4.7838 0.4614
0.6488 0.1606 5.4775
-4.7620 2.7458 0.4836
La In Zr
3 1 1
Direct
0.0000 0.0000 0.5000
0.0000 0.5000 0.0000
0.5000 0.0000 0.0000
0.5000 0.5000 0.5000
0.0000 0.0000 0.0000
```

The final energy is -38.3818 eV per atom. The formation energy comes out at 0.298 eV per atom.

Compound: LiIn2
Source: Alexandria
Functional: SCAN
Structure: single point on PBEsol structure

Structure (POSCAR):
```
LiIn2
1.0
4.4320 0.0000 0.0000
0.0000 6.3801 0.0000
0.0000 0.0000 9.0784
In Li
8 4
Direct
0.7500 0.8544 0.4233
0.2500 0.6085 0.2600
0.2500 0.1085 0.2400
0.7500 0.8915 0.7600
0.2500 0.1456 0.5767
0.7500 0.3915 0.7400
0.2500 0.6456 0.9233
0.7500 0.3544 0.0767
0.7500 0.8662 0.0934
0.7500 0.3662 0.4066
0.2500 0.6338 0.5934
0.2500 0.1338 0.9066
```

The final energy is -23.3060 eV per atom. The formation energy comes out at -0.252 eV per atom.

Going through the records in order, we get size of the total moment values of 0.00, 3.54, 0.00, 0.00 μB per formula unit.